Entry 1:
Material: GaSiHAuS
Method: DFT, GGA-PBE
State: relaxed

Unit cell a=4.012 b=3.268 c=6.892 alpha=90.00 beta=98.01 gamma=90.00
Sites, in units of the cell vectors:
S1 0.846 0.000 0.794
Ga1 0.522 0.000 0.453
H1 0.352 0.500 0.966
Si1 0.728 0.500 0.988
Au1 0.012 0.500 0.323

## Properties
The relative energy among the computed polymorphs is 0.020 eV/atom. The calculation puts the calculated volume at 89 Å³ per cell. The value obtained for the electronic total energy is -0.146 hartree per atom.

=====

Entry 2:
Material: GaSiHAuS
Method: DFT, GGA-PBE
State: relaxed

Unit cell a=5.474 b=3.742 c=10.879 alpha=90.00 beta=116.88 gamma=90.00
Sites, in units of the cell vectors:
H1 0.709 0.000 0.419
Au1 0.053 0.500 0.699
S1 0.267 0.000 0.461
Si1 0.979 0.500 0.047
Au2 0.053 0.000 0.199
Ga1 0.515 0.000 0.144
Ga2 0.515 0.500 0.644
Si2 0.979 0.000 0.547
S2 0.267 0.500 0.961
H2 0.709 0.500 0.919

## Properties
The relative energy among the computed polymorphs is 0.016 eV/atom. The calculation puts the calculated volume at 199 Å³ per cell. The value obtained for the electronic total energy is -0.146 hartree per atom.

=====

Entry 3:
Material: GaSiHAuS
Method: DFT, GGA-PBE
State: relaxed

Unit cell a=3.942 b=4.762 c=4.948 alpha=72.49 beta=84.71 gamma=85.06
Sites, in units of the cell vectors:
S1 0.553 0.731 0.269
Ga1 0.278 0.478 0.000
Au1 0.108 0.950 0.593
Si1 0.585 0.058 0.850
H1 0.020 0.260 0.269

## Properties
The relative energy among the computed polymorphs is 0.137 eV/atom. The calculation puts the calculated volume at 88 Å³ per cell. The value obtained for the electronic total energy is -0.142 hartree per atom.

=====

Entry 4:
Material: GaSiHAuS
Method: DFT, GGA-PBE
State: relaxed

Unit cell a=4.312 b=3.332 c=5.834 alpha=90.00 beta=93.38 gamma=90.00
Sites, in units of the cell vectors:
S1 0.354 0.000 0.082
Ga1 0.391 0.000 0.534
Au1 0.890 0.500 0.590
H1 0.863 0.500 0.247
Si1 0.025 0.500 0.006

## Properties
The relative energy among the computed polymorphs is 0.000 eV/atom. The calculation puts the calculated volume at 84 Å³ per cell. The value obtained for the electronic total energy is -0.147 hartree per atom.

=====

Entry 5:
Material: GaSiHAuS
Method: DFT, GGA-PBE
State: relaxed

Unit cell a=3.347 b=5.358 c=5.529 alpha=115.25 beta=91.08 gamma=107.83
Sites, in units of the cell vectors:
Si1 0.011 0.121 0.050
Au1 0.916 0.936 0.566
H1 0.558 0.212 0.138
S1 0.800 0.698 0.057
Ga1 0.197 0.509 0.649

## Properties
The relative energy among the computed polymorphs is 0.134 eV/atom. The calculation puts the calculated volume at 84 Å³ per cell. The value obtained for the electronic total energy is -0.142 hartree per atom.

=====

Entry 6:
Material: GaSiHAuS
Method: DFT, GGA-PBE
State: relaxed

Unit cell a=4.305 b=4.478 c=5.242 alpha=67.79 beta=73.89 gamma=87.10
Sites, in units of the cell vectors:
S1 0.207 0.305 0.688
Au1 0.571 0.084 0.358
Ga1 0.651 0.589 0.812
Si1 0.914 0.888 0.031
H1 0.166 0.657 0.129

## Properties
The relative energy among the computed polymorphs is 0.104 eV/atom. The calculation puts the calculated volume at 90 Å³ per cell. The value obtained for the electronic total energy is -0.143 hartree per atom.

=====

Entry 7:
Material: GaSiHAuS
Method: DFT, GGA-PBE
State: relaxed

Unit cell a=6.960 b=3.291 c=9.759 alpha=90.00 beta=119.94 gamma=90.00
Sites, in units of the cell vectors:
H1 0.399 0.000 0.197
Au1 0.291 0.500 0.838
H2 0.399 0.500 0.697
Ga1 0.190 0.500 0.496
Si1 0.930 0.500 0.595
Au2 0.291 0.000 0.338
S1 0.713 0.000 0.583
Si2 0.930 0.000 0.095
S2 0.713 0.500 0.083
Ga2 0.190 0.000 0.996

## Properties
The relative energy among the computed polymorphs is 0.113 eV/atom. The calculation puts the calculated volume at 194 Å³ per cell. The value obtained for the electronic total energy is -0.142 hartree per atom.

=====

Entry 8:
Material: GaSiHAuS
Method: DFT, GGA-PBE
State: relaxed

Unit cell a=3.062 b=5.154 c=5.238 alpha=90.00 beta=107.31 gamma=90.00
Sites, in units of the cell vectors:
Si1 0.172 0.000 0.895
Au1 0.212 0.500 0.954
H1 0.777 0.000 0.088
Ga1 0.495 0.500 0.485
S1 0.502 0.000 0.560

## Properties
The relative energy among the computed polymorphs is 0.154 eV/atom. The calculation puts the calculated volume at 79 Å³ per cell. The value obtained for the electronic total energy is -0.141 hartree per atom.

=====

no.,size of the total moment (μB/cell)
1,0.00
2,0.00
3,0.00
4,0.00
5,0.00
6,0.00
7,0.00
8,0.00